Record 1
The following is a SCAN calculation of a crystal of Mg2ZrSc relaxed with PBEsol, from Alexandria.

## Properties
* uncorrected energy: -55.1 eV/cell
* volume: 22.51 Å³ per atom
* ΔH_f (0 K): -65 meV/atom
* DOS(E_F): 1.89 states/eV/cell

Lattice parameters (Å, degrees): 3.2036 3.2036 8.7727 90.00 90.00 90.00
Positions (direct):
Mg 0.0000 0.0000 0.0000
Mg 0.5000 0.5000 0.2447
Zr 0.5000 0.5000 0.7452
Sc 0.0000 0.0000 0.5058

---

Record 2
The following is a SCAN calculation of a crystal of MgZr2Sc relaxed with PBEsol, from Alexandria.

## Properties
* uncorrected energy: -241.0 eV/cell
* volume: 22.33 Å³ per atom
* ΔH_f (0 K): 70 meV/atom
* DOS(E_F): 12.87 states/eV/cell

Lattice parameters (Å, degrees): 3.1019 3.1019 32.1641 90.00 90.00 120.00
Positions (direct):
Mg 0.0000 0.0000 0.0000
Mg 0.3333 0.6667 0.6667
Mg 0.6667 0.3333 0.3333
Zr 0.0000 0.0000 0.2495
Zr 0.0000 0.0000 0.7505
Zr 0.3333 0.6667 0.4172
Zr 0.3333 0.6667 0.9161
Zr 0.6667 0.3333 0.0839
Zr 0.6667 0.3333 0.5828
Sc 0.0000 0.0000 0.5000
Sc 0.3333 0.6667 0.1667
Sc 0.6667 0.3333 0.8333